Here is a geometry-optimized Ba6Br2N3Cl structure from Alexandria. Energies are from PBE-GGA.

Properties
The excess energy over the best structure of this formula in the dataset comes out at 0.002 eV per atom. As for the total magnetization: 0.0 μB per cell. Its symmetry is C2/m. For the final energy, the calculation gives -4.693 eV/atom.

Cell: 11.054 11.054 8.247 Å, 73.22 73.22 21.79°
Fractional positions:
Ba: 0.076 0.076 0.314
Ba: 0.742 0.742 0.316
Ba: 0.412 0.412 0.307
Ba: 0.924 0.924 0.686
Ba: 0.588 0.588 0.693
Ba: 0.258 0.258 0.684
Br: 0.667 0.667 0.999
Br: 0.333 0.333 0.001
N: 0.500 0.500 0.500
N: 0.165 0.165 0.503
N: 0.835 0.835 0.497
Cl: 0.000 0.000 0.000